# 1
A plane-wave DFT calculation with PBE was carried out for a geometry-optimized GaSb2Mo structure.

The structure in CIF format:
```
data_GaSb2Mo
_chemical_formula_sum 'Ga3 Sb6 Mo3'
_space_group_name_H-M_alt 'R -3 m'
_space_group_IT_number 166
_space_group_name_Hall '-R 3 2"'
_cell_length_a 3.0630
_cell_length_b 3.0630
_cell_length_c 33.9367
_cell_angle_alpha 90.00
_cell_angle_beta 90.00
_cell_angle_gamma 120.00
loop_
_atom_site_label
_atom_site_fract_x
_atom_site_fract_y
_atom_site_fract_z
Ga1 0.0000 0.0000 0.0000
Sb1 0.0000 0.0000 0.4179
Mo1 0.0000 0.0000 0.5000
```

Properties
The raw formation energy comes out at 0.66 eV/atom.

***

# 2
A plane-wave DFT calculation with PBE was carried out for a geometry-optimized GaSb2TeMo structure.

The structure in CIF format:
```
data_GaSb2TeMo
_chemical_formula_sum 'Ga1 Sb2 Te1 Mo1'
_space_group_name_H-M_alt 'P 4/m m m'
_space_group_IT_number 123
_space_group_name_Hall '-P 4 2'
_cell_length_a 5.242
_cell_length_b 5.242
_cell_length_c 5.460
_cell_angle_alpha 90.00
_cell_angle_beta 90.00
_cell_angle_gamma 90.00
loop_
_atom_site_label
_atom_site_fract_x
_atom_site_fract_y
_atom_site_fract_z
Ga1 0.000 0.000 0.000
Sb1 0.000 0.500 0.500
Te1 0.500 0.500 0.000
Mo1 0.500 0.500 0.500
```

Properties
The raw formation energy comes out at 0.48 eV/atom. The calculation puts the energy relative to the lowest polymorph listed for this composition at 0.000 eV/atom.